1.
The following is a PBE calculation of a relaxed CeNdCoCl crystal, from Alexandria. Values from VASP.

The structure in Quantum ESPRESSO input format:
```
&SYSTEM
  ibrav = 0, nat = 4, ntyp = 4
/
ATOMIC_SPECIES
Ce 140.12 Ce.upf
Co 58.93 Co.upf
Cl 35.45 Cl.upf
Nd 144.24 Nd.upf
ATOMIC_POSITIONS crystal
Ce 0.0962 0.9464 0.0582
Co 0.3162 0.5556 0.8873
Cl 0.9669 0.3818 0.3633
Nd 0.4986 0.1470 0.6609
CELL_PARAMETERS angstrom
-3.7586 1.0161 0.1058
1.5185 -2.1610 2.8627
3.8194 6.3505 2.7821
```

2.
! PBE SrLi3Zn, optimized geometry; values from VASP
&SYSTEM
  ibrav = 0, nat = 10, ntyp = 3
/
ATOMIC_SPECIES
Li 6.94 Li.upf
Zn 65.41 Zn.upf
Sr 87.62 Sr.upf
ATOMIC_POSITIONS crystal
Li 0.7500 0.1805 0.3609
Li 0.7500 0.1805 0.8196
Li 0.2500 0.3610 0.1804
Li 0.2500 0.8195 0.6391
Li 0.2500 0.8195 0.1804
Li 0.7500 0.6390 0.8196
Zn 0.0000 0.0000 0.0000
Zn 0.5000 0.0000 0.0000
Sr 0.2500 0.3333 0.6666
Sr 0.7500 0.6667 0.3334
CELL_PARAMETERS angstrom
5.7802 0.0001 -0.0002
-0.0002 7.1115 -0.0002
0.0003 -3.5562 6.1581
! Energy above the most stable polymorph in this dataset   48 meV per atom
! Formation energy   -0.02 eV/f.u.

3.
! PBE PrTm3Tl2, optimized geometry; values from VASP
&SYSTEM
  ibrav = 0, nat = 12, ntyp = 3
/
ATOMIC_SPECIES
Tm 168.93 Tm.upf
Tl 204.38 Tl.upf
Pr 140.91 Pr.upf
ATOMIC_POSITIONS crystal
Tm 0.0000 0.4562 0.9557
Tm 0.5000 0.6673 0.1814
Tm 0.5000 0.1673 0.8186
Tm 0.0000 0.9562 0.0443
Tm 0.0000 0.3299 0.3041
Tm 0.0000 0.8299 0.6959
Tl 0.0000 0.7859 0.3594
Tl 0.0000 0.2859 0.6406
Tl 0.5000 0.2092 0.1307
Tl 0.5000 0.7092 0.8693
Pr 0.5000 0.0515 0.4575
Pr 0.5000 0.5515 0.5425
CELL_PARAMETERS angstrom
5.1037 0.0000 0.0000
0.0000 6.8032 0.0000
0.0000 0.0000 9.9899
! Energy above the most stable polymorph in this dataset   0 meV per atom
! Formation energy   -1.52 eV/f.u.

4.
! PBE CaLaMg2Ir, optimized geometry; values from VASP
&SYSTEM
  ibrav = 0, nat = 5, ntyp = 4
/
ATOMIC_SPECIES
Ca 40.08 Ca.upf
Mg 24.30 Mg.upf
Ir 192.22 Ir.upf
La 138.91 La.upf
ATOMIC_POSITIONS crystal
Ca 0.0000 0.5000 0.0000
Mg 0.0000 0.0000 0.5000
Mg 0.5000 0.0000 0.0000
Ir 0.5000 0.5000 0.5000
La 0.0000 0.0000 0.0000
CELL_PARAMETERS angstrom
-4.3720 -2.3140 2.3988
3.1258 -1.1287 4.6082
-1.4003 4.8658 2.1416
! Energy above the most stable polymorph in this dataset   2214 meV per atom
! Formation energy   9.72 eV/f.u.

5.
! PBE CdCoIr4, optimized geometry; values from VASP
&SYSTEM
  ibrav = 0, nat = 6, ntyp = 3
/
ATOMIC_SPECIES
Co 58.93 Co.upf
Ir 192.22 Ir.upf
Cd 112.41 Cd.upf
ATOMIC_POSITIONS crystal
Co 0.0000 0.0000 0.0000
Ir 0.3748 0.3748 0.3748
Ir 0.8757 0.3748 0.3748
Ir 0.3748 0.8757 0.3748
Ir 0.3748 0.3748 0.8757
Cd 0.7500 0.7500 0.7500
CELL_PARAMETERS angstrom
0.0000 3.6736 3.6736
3.6736 0.0000 3.6736
3.6736 3.6736 0.0000
! Formation energy   2.97 eV/f.u.

6.
! PBE LaNd2Sm6, optimized geometry; values from VASP
&SYSTEM
  ibrav = 0, nat = 9, ntyp = 3
/
ATOMIC_SPECIES
Sm 150.36 Sm.upf
La 138.91 La.upf
Nd 144.24 Nd.upf
ATOMIC_POSITIONS crystal
Sm 0.2906 0.8140 0.3720
Sm 0.7094 0.1860 0.6280
Sm 0.7093 0.1860 0.1860
Sm 0.7094 0.6280 0.1860
Sm 0.2907 0.8140 0.8140
Sm 0.2906 0.3720 0.8140
La 0.0000 0.0000 0.0000
Nd 0.2184 0.3334 0.3334
Nd 0.7816 0.6666 0.6666
CELL_PARAMETERS angstrom
-3.4981 -4.4258 -2.5360
4.8999 -0.5298 -5.8347
5.8773 -4.8628 0.3789
! Energy above the most stable polymorph in this dataset   136 meV per atom
! Formation energy   1.71 eV/f.u.

E for the records above, in order: -5.740 -1.744 -4.075 -1.852 -6.749 -4.564 eV per atom